# 1
First-principles (PBE) data for a relaxed structure of LiPrP4O12, as listed in OQMD.

The structure in POSCAR format:
```
LiPrP4O12
1.0
8.1763 -3.5110 0.0000
8.1763 3.5110 0.0000
-5.6772 0.0000 7.8289
O P Li Pr
24 8 2 2
Direct
0.6748 0.8384 0.6474 O
0.3311 0.5258 0.0842 O
0.4742 0.6689 0.4158 O
0.7463 0.5240 0.2320 O
0.2797 0.0447 0.5871 O
0.0672 0.0593 0.1993 O
0.4760 0.2537 0.2680 O
0.9407 0.9328 0.3007 O
0.2537 0.4760 0.7680 O
0.3444 0.8926 0.0547 O
0.3252 0.1616 0.3526 O
0.7203 0.9553 0.4129 O
0.1074 0.6556 0.4453 O
0.0593 0.0672 0.6993 O
0.6689 0.4742 0.9158 O
0.6556 0.1074 0.9453 O
0.5240 0.7463 0.7320 O
0.0447 0.2797 0.0871 O
0.5258 0.3311 0.5842 O
0.9328 0.9407 0.8007 O
0.8384 0.6748 0.1474 O
0.1616 0.3252 0.8526 O
0.9553 0.7203 0.9129 O
0.8926 0.3444 0.5547 O
0.9185 0.8031 0.3347 P
0.0815 0.1969 0.6653 P
0.8031 0.9185 0.8347 P
0.4942 0.8059 0.5971 P
0.5058 0.1941 0.4029 P
0.1941 0.5058 0.9029 P
0.8059 0.4942 0.0971 P
0.1969 0.0815 0.1653 P
0.7986 0.2014 0.7500 Li
0.2014 0.7986 0.2500 Li
0.7018 0.2982 0.2500 Pr
0.2982 0.7018 0.7500 Pr
```

Properties
Its space-group type is C2/c (15).



# 2
First-principles (PBE) data for a relaxed structure of LiPrPO, as listed in OQMD.

The structure in POSCAR format:
```
LiPrPO
1.0
4.0665 0.0000 0.0000
0.0000 6.6904 0.0000
0.0000 0.0000 4.9162
Pr P Li O
2 2 2 2
Direct
0.5000 0.7330 0.5008 Pr
0.5000 0.2670 0.0008 Pr
0.0000 0.0001 0.2505 P
0.0000 0.9999 0.7505 P
0.0000 0.6888 0.0010 Li
0.0000 0.3112 0.5010 Li
0.5000 0.6143 0.0017 O
0.5000 0.3857 0.5017 O
```

Properties
The value obtained for the energy above the lowest structure with this stoichiometry is 27 meV per atom. Its space-group type is Pmma (51).



# 3
First-principles (PBE) data for a relaxed structure of LiPrPO, as listed in OQMD.

The structure in POSCAR format:
```
LiPrPO
1.0
-1.6177 -3.6414 -0.3649
2.8281 -1.4972 2.4021
-5.2026 1.5976 7.1210
Li P O Pr
2 2 2 2
Direct
0.0000 0.0000 0.5000 Li
0.5000 0.5000 0.5000 Li
0.5000 0.0000 0.3346 P
0.0000 0.5000 0.6654 P
0.5000 0.5000 0.0000 O
0.0000 0.0000 0.0000 O
0.0000 0.5000 0.1369 Pr
0.5000 0.0000 0.8631 Pr
```

Properties
The value obtained for the energy above the lowest structure with this stoichiometry is 0 meV per atom. Its space-group type is P4/nmm (129).



# 4
First-principles (PBE) data for a relaxed structure of LiPrPO, as listed in OQMD.

The structure in POSCAR format:
```
LiPrPO
1.0
3.7426 0.0000 0.0000
0.0000 7.5549 0.0000
0.0000 0.0000 5.8180
Pr O Li P
2 2 2 2
Direct
0.0000 0.2835 0.9295 Pr
0.0000 0.7165 0.4295 Pr
0.5000 0.8739 0.3691 O
0.5000 0.1261 0.8691 O
0.5000 0.0944 0.5296 Li
0.5000 0.9056 0.0296 Li
0.0000 0.6677 0.9257 P
0.0000 0.3323 0.4257 P
```

Properties
The value obtained for the energy above the lowest structure with this stoichiometry is 125 meV per atom. Its space-group type is Pmc2_1 (26).



# 5
First-principles (PBE) data for a relaxed structure of LiPPtO, as listed in OQMD.

The structure in POSCAR format:
```
LiPPtO
1.0
3.8635 0.0000 0.0000
0.0000 3.8635 0.0000
0.0000 0.0000 6.5539
Pt O P Li
2 2 2 2
Direct
0.5000 0.5000 0.5000 Pt
0.0000 0.0000 0.5000 Pt
0.0000 0.0000 0.0000 O
0.5000 0.5000 0.0000 O
0.0000 0.5000 0.7376 P
0.5000 0.0000 0.2624 P
0.0000 0.5000 0.1001 Li
0.5000 0.0000 0.8999 Li
```

Properties
The value obtained for the energy above the lowest structure with this stoichiometry is 62 meV per atom. Its space-group type is P4/nmm (129).



# 6
First-principles (PBE) data for a relaxed structure of LiPPtO, as listed in OQMD.

The structure in POSCAR format:
```
LiPPtO
1.0
-1.0391 2.1859 -2.5187
-3.1554 0.2096 1.4836
2.5036 6.3002 4.4348
Pt Li O P
2 2 2 2
Direct
0.5000 0.0000 0.8294 Pt
0.0000 0.5000 0.1706 Pt
0.5000 0.5000 0.5000 Li
0.0000 0.0000 0.5000 Li
0.5000 0.5000 0.0000 O
0.0000 0.0000 0.0000 O
0.0000 0.5000 0.7181 P
0.5000 0.0000 0.2819 P
```

Properties
The value obtained for the energy above the lowest structure with this stoichiometry is 708 meV per atom. Its space-group type is P4/nmm (129).



# 7
First-principles (PBE) data for a relaxed structure of LiPPtO, as listed in OQMD.

The structure in POSCAR format:
```
LiPPtO
1.0
-0.7803 -0.2934 -3.7969
-4.9171 -2.5594 1.2082
-2.4585 4.7872 0.1354
O P Li Pt
2 2 2 2
Direct
0.0000 0.3188 0.3957 O
0.0000 0.6812 0.8957 O
0.5000 0.1661 0.8632 P
0.5000 0.8339 0.3632 P
0.0000 0.6142 0.5560 Li
0.0000 0.3858 0.0560 Li
0.5000 0.2314 0.4392 Pt
0.5000 0.7686 0.9392 Pt
```

Properties
The value obtained for the energy above the lowest structure with this stoichiometry is 143 meV per atom. Its space-group type is Pmc2_1 (26).



# 8
First-principles (PBE) data for a relaxed structure of LiPPtO, as listed in OQMD.

The structure in POSCAR format:
```
LiPPtO
1.0
-0.4143 3.0964 -0.5731
-5.8851 -1.3448 -3.0116
-2.3939 0.5039 4.4530
P Pt O Li
2 2 2 2
Direct
0.0000 0.9588 0.4507 P
0.0000 0.0412 0.9507 P
0.5000 0.7235 0.4648 Pt
0.5000 0.2765 0.9648 Pt
0.5000 0.4358 0.3357 O
0.5000 0.5642 0.8357 O
0.0000 0.3479 0.5028 Li
0.0000 0.6521 0.0028 Li
```

Properties
The value obtained for the energy above the lowest structure with this stoichiometry is 0 meV per atom. Its space-group type is Pmc2_1 (26).



# 9
First-principles (PBE) data for a relaxed structure of LiRePO, as listed in OQMD.

The structure in POSCAR format:
```
LiRePO
1.0
3.6770 0.0000 0.0000
0.0000 5.8985 0.0000
0.0000 0.0000 5.4794
P Li Re O
2 2 2 2
Direct
0.5000 0.1520 0.8590 P
0.5000 0.8480 0.3590 P
0.0000 0.3854 0.0491 Li
0.0000 0.6146 0.5491 Li
0.5000 0.2225 0.4543 Re
0.5000 0.7775 0.9543 Re
0.0000 0.6799 0.8915 O
0.0000 0.3201 0.3915 O
```

Properties
The value obtained for the energy above the lowest structure with this stoichiometry is 319 meV per atom. Its space-group type is Pmc2_1 (26).



# 10
First-principles (PBE) data for a relaxed structure of LiRePO, as listed in OQMD.

The structure in POSCAR format:
```
LiRePO
1.0
-1.0270 -2.3178 1.5813
4.0132 1.2808 4.4839
-3.9058 3.4444 2.5119
Li Re O P
2 2 2 2
Direct
0.0000 0.1072 0.4435 Li
0.0000 0.8928 0.9435 Li
0.5000 0.4990 0.1037 Re
0.5000 0.5010 0.6037 Re
0.5000 0.2660 0.3520 O
0.5000 0.7340 0.8520 O
0.0000 0.2879 0.8549 P
0.0000 0.7121 0.3549 P
```

Properties
The value obtained for the energy above the lowest structure with this stoichiometry is 0 meV per atom. Its space-group type is Pmc2_1 (26).



# 11
First-principles (PBE) data for a relaxed structure of LiRePO, as listed in OQMD.

The structure in POSCAR format:
```
LiRePO
1.0
3.7570 0.0000 0.0000
0.0000 3.7570 0.0000
0.0000 0.0000 7.5476
O Li P Re
2 2 2 2
Direct
0.0000 0.0000 0.0000 O
0.5000 0.5000 0.0000 O
0.5000 0.0000 0.9425 Li
0.0000 0.5000 0.0575 Li
0.5000 0.0000 0.2933 P
0.0000 0.5000 0.7067 P
0.5000 0.5000 0.5000 Re
0.0000 0.0000 0.5000 Re
```

Properties
The value obtained for the energy above the lowest structure with this stoichiometry is 592 meV per atom. Its space-group type is P4/nmm (129).



# 12
First-principles (PBE) data for a relaxed structure of LiRePO, as listed in OQMD.

The structure in POSCAR format:
```
LiRePO
1.0
3.2730 0.0000 0.0000
0.0000 3.2730 0.0000
0.0000 0.0000 8.6670
P Li Re O
2 2 2 2
Direct
0.0000 0.0000 0.7076 P
0.5000 0.5000 0.2924 P
0.0000 0.5000 0.5000 Li
0.5000 0.0000 0.5000 Li
0.0000 0.0000 0.1577 Re
0.5000 0.5000 0.8423 Re
0.0000 0.5000 0.0000 O
0.5000 0.0000 0.0000 O
```

Properties
The value obtained for the energy above the lowest structure with this stoichiometry is 578 meV per atom. Its space-group type is P4/nmm (129).



# 13
First-principles (PBE) data for a relaxed structure of LiTaPO, as listed in OQMD.

The structure in POSCAR format:
```
LiTaPO
1.0
4.9731 0.0000 0.0000
0.0000 4.9731 0.0000
0.0000 0.0000 4.2889
O Ta P Li
2 2 2 2
Direct
0.5000 0.5000 0.0000 O
0.0000 0.0000 0.0000 O
0.5000 0.5000 0.5000 Ta
0.0000 0.0000 0.5000 Ta
0.5000 0.0000 0.4987 P
0.0000 0.5000 0.5013 P
0.0000 0.5000 0.0013 Li
0.5000 0.0000 0.9987 Li
```

Properties
The value obtained for the energy above the lowest structure with this stoichiometry is 266 meV per atom. Its space-group type is P4/nmm (129).



# 14
First-principles (PBE) data for a relaxed structure of LiTaPO, as listed in OQMD.

The structure in POSCAR format:
```
LiTaPO
1.0
-3.0889 -0.1991 1.4041
-1.3442 -0.6609 -3.0510
1.1305 -8.3282 1.3058
Li O P Ta
2 2 2 2
Direct
0.0000 0.0000 0.5000 Li
0.5000 0.5000 0.5000 Li
0.0000 0.0000 0.0000 O
0.5000 0.5000 0.0000 O
0.5000 0.0000 0.2923 P
0.0000 0.5000 0.7077 P
0.5000 0.0000 0.8437 Ta
0.0000 0.5000 0.1563 Ta
```

Properties
The value obtained for the energy above the lowest structure with this stoichiometry is 214 meV per atom. Its space-group type is P4/nmm (129).



# 15
First-principles (PBE) data for a relaxed structure of LiTaPO, as listed in OQMD.

The structure in POSCAR format:
```
LiTaPO
1.0
-2.5360 -0.4003 2.0924
-3.7547 -1.1833 -4.7771
1.2545 -5.7093 0.4282
P Li O Ta
2 2 2 2
Direct
0.0000 0.2832 0.8494 P
0.0000 0.7168 0.3494 P
0.0000 0.8845 0.9274 Li
0.0000 0.1155 0.4274 Li
0.5000 0.7302 0.8629 O
0.5000 0.2698 0.3629 O
0.5000 0.5129 0.6143 Ta
0.5000 0.4871 0.1143 Ta
```

Properties
The value obtained for the energy above the lowest structure with this stoichiometry is 0 meV per atom. Its space-group type is Pmc2_1 (26).



# 16
First-principles (PBE) data for a relaxed structure of LiTaPO, as listed in OQMD.

The structure in POSCAR format:
```
LiTaPO
1.0
-0.7636 3.7900 -0.2716
-0.1166 -0.4236 -5.5833
-4.9450 -0.9835 0.1779
Ta Li O P
2 2 2 2
Direct
0.5000 0.3348 0.8746 Ta
0.5000 0.6652 0.3746 Ta
0.0000 0.9958 0.6293 Li
0.0000 0.0042 0.1293 Li
0.0000 0.2654 0.8747 O
0.0000 0.7346 0.3747 O
0.5000 0.7711 0.8754 P
0.5000 0.2289 0.3754 P
```

Properties
The value obtained for the energy above the lowest structure with this stoichiometry is 44 meV per atom. Its space-group type is Pmc2_1 (26).



# 17
First-principles (PBE) data for a relaxed structure of LiTcPO, as listed in OQMD.

The structure in POSCAR format:
```
LiTcPO
1.0
-1.4032 3.3053 2.3370
-2.8918 0.9123 -3.0267
-3.3630 -3.0496 2.2939
O Li P Tc
2 2 2 2
Direct
0.5000 0.0000 0.0000 O
0.0000 0.5000 0.0000 O
0.0000 0.0000 0.1212 Li
0.5000 0.5000 0.8788 Li
0.0000 0.0000 0.6703 P
0.5000 0.5000 0.3297 P
0.0000 0.5000 0.5000 Tc
0.5000 0.0000 0.5000 Tc
```

Properties
The value obtained for the energy above the lowest structure with this stoichiometry is 407 meV per atom. Its space-group type is P4/nmm (129).



# 18
First-principles (PBE) data for a relaxed structure of LiTcPO, as listed in OQMD.

The structure in POSCAR format:
```
LiTcPO
1.0
-1.8804 -1.0823 -2.0819
-4.2526 -0.9659 4.3431
-2.0786 5.2715 -0.8629
Tc Li O P
2 2 2 2
Direct
0.5000 0.5003 0.6076 Tc
0.5000 0.4997 0.1076 Tc
0.0000 0.8918 0.9339 Li
0.0000 0.1082 0.4339 Li
0.5000 0.7327 0.8550 O
0.5000 0.2673 0.3550 O
0.0000 0.7110 0.3576 P
0.0000 0.2890 0.8576 P
```

Properties
The value obtained for the energy above the lowest structure with this stoichiometry is 0 meV per atom. Its space-group type is Pmc2_1 (26).



# 19
First-principles (PBE) data for a relaxed structure of LiTcPO, as listed in OQMD.

The structure in POSCAR format:
```
LiTcPO
1.0
3.5561 0.0000 0.0000
0.0000 6.0602 0.0000
0.0000 0.0000 5.5655
P Li O Tc
2 2 2 2
Direct
0.5000 0.1505 0.8550 P
0.5000 0.8495 0.3550 P
0.0000 0.3907 0.0521 Li
0.0000 0.6093 0.5521 Li
0.0000 0.6735 0.8890 O
0.0000 0.3265 0.3890 O
0.5000 0.2092 0.4580 Tc
0.5000 0.7908 0.9580 Tc
```

Properties
The value obtained for the energy above the lowest structure with this stoichiometry is 244 meV per atom. Its space-group type is Pmc2_1 (26).



# 20
First-principles (PBE) data for a relaxed structure of LiTcPO, as listed in OQMD.

The structure in POSCAR format:
```
LiTcPO
1.0
3.3158 0.0000 0.0000
0.0000 3.3158 0.0000
0.0000 0.0000 8.5092
Tc P O Li
2 2 2 2
Direct
0.5000 0.0000 0.8449 Tc
0.0000 0.5000 0.1551 Tc
0.0000 0.5000 0.7101 P
0.5000 0.0000 0.2899 P
0.0000 0.0000 0.0000 O
0.5000 0.5000 0.0000 O
0.5000 0.5000 0.5000 Li
0.0000 0.0000 0.5000 Li
```

Properties
The value obtained for the energy above the lowest structure with this stoichiometry is 525 meV per atom. Its space-group type is P4/nmm (129).



Calculated uncorrected energy, -263.70, -47.42, -47.64, -46.64, -41.31, -36.14, -40.66, -41.80, -53.95, -56.50, -51.77, -51.88, -57.51, -57.92, -59.63, -59.28, -49.67, -52.93, -50.97, -48.73 eV/cell (same order as the records).